# MgZr2Sc | the Alexandria database | meta-GGA SCAN | single point on PBEsol structure
data_MgZr2Sc
_chemical_formula_sum 'Mg3 Zr6 Sc3'
_cell_length_a 3.1669
_cell_length_b 3.1669
_cell_length_c 31.2445
_cell_angle_alpha 90.00
_cell_angle_beta 90.00
_cell_angle_gamma 120.00
_symmetry_space_group_name_H-M 'R 3 m'
_symmetry_Int_Tables_number 160
_symmetry_space_group_name_Hall 'R 3 -2"'
loop_
_atom_site_label
_atom_site_type_symbol
_atom_site_fract_x
_atom_site_fract_y
_atom_site_fract_z
Mg1 Mg 0.0000 0.0000 0.0000
Zr1 Zr 0.0000 0.0000 0.2484
Zr2 Zr 0.0000 0.0000 0.5005
Sc1 Sc 0.0000 0.0000 0.7532
# formation energy from the elements: 0.03 eV per atom
# DFT total energy: -241.405 eV for the cell shown